No. 1
Compound: LiPrGdAu
Source: the Alexandria database
Functional: GGA-PBE
Structure: optimized geometry

Volume ... 101 Å³/f.u.
Energy of formation ... -353 meV per atom

Unit cell a=5.2348 b=5.2348 c=5.2348 alpha=60.00 beta=60.00 gamma=60.00
Site moments in Bohr magnetons follow the coordinates.
Fractional coordinates of all 4 atoms:
Li 0.5000 0.5000 0.5000  0.01
Pr 0.2500 0.2500 0.2500  0.08
Au 0.0000 0.0000 0.0000  0.02
Gd 0.7500 0.7500 0.7500  7.13

---

No. 2
Compound: Y2AgBr
Source: the Alexandria database
Functional: GGA-PBE
Structure: optimized geometry

Volume ... 105 Å³/f.u.
Polymorph energy (0 for the lowest one) ... 0 meV/atom
ΔE_f (raw) ... -0.60 eV/atom

Unit cell a=6.0272 b=4.1710 c=4.1664 alpha=89.99 beta=90.00 gamma=90.00
Fractional coordinates of all 4 atoms:
Ag 0.0000 0.3756 0.3752
Br 0.5000 0.8745 0.8749
Y 0.5000 0.3744 0.3748
Y 0.0000 0.8756 0.8751